[1]
VASP calculation (PBE) on a relaxed structure of YHoPd.

Output
- ΔE_f (eV/atom) = -0.48
- energy above the most stable polymorph in this dataset (meV per atom) = 83

abc: 4.8828 4.8828 4.8828
angles: 60.00 60.00 60.00
Fractional positions:
Pd1 0.2500 0.2500 0.2500
Y1 0.0000 0.0000 0.0000
Ho1 0.5000 0.5000 0.5000



[2]
VASP calculation (PBE) on a relaxed structure of Ho3Zn4Pd4.

Output
- ΔE_f (eV/atom) = -0.70

abc: 4.0141 7.4104 8.2101
angles: 116.83 104.15 90.00
Fractional positions:
Ho1 0.0000 0.5000 0.0000
Zn1 0.6730 0.4753 0.3460
Pd1 0.5000 0.1931 0.0000
Pd2 0.2179 0.7179 0.4359
Zn2 0.6730 0.8707 0.3460
Zn3 0.3270 0.1293 0.6540
Pd3 0.7821 0.2821 0.5641
Ho2 0.1259 0.1259 0.2518
Ho3 0.8741 0.8741 0.7482
Zn4 0.3270 0.5247 0.6540
Pd4 0.5000 0.8069 0.0000